Density functional theory data (PBE with a Hubbard U) for a geometry-optimized ErMn2PbO6 structure.

Computed properties:
For the total energy, the calculation gives -7.19 eV/atom.

Structure (POSCAR):
```
ErMn2PbO6
1.0
-5.2425 -0.9288 -1.4258
-1.7166 -5.1403 -1.1003
-3.3588 -2.5905 3.5006
Mn Pb O Er
2 1 6 1
Direct
0.0162 0.0149 0.9505
0.5172 0.5140 0.4515
0.2734 0.2731 0.1943
0.2055 0.3261 0.6668
0.8019 0.7296 0.2615
0.7240 0.3443 0.1262
0.2265 0.8401 0.2411
0.7655 0.1518 0.7022
0.3422 0.7278 0.7427
0.7893 0.7399 0.6784
```